Material: Mn2NbCO
Method: DFT, GGA+U
State: optimized geometry

Lattice parameters (Å, degrees): 5.293 3.863 5.293 90.00 90.00 90.00
Each line ends with the local moment (μB).
Element x y z (fractional)
Nb 0.000 0.000 0.000  -0.98
Mn 0.000 0.000 0.500  4.40
Mn 0.500 0.000 0.000  4.57
C 0.500 0.500 0.500  -0.81
O 0.000 0.500 0.000  0.07

Properties
symmetry	No. 123
V	108	Å³/cell
total DFT energy (no corrections)	-6.442	eV/atom